No. 1
Here is a relaxed structure of Mn2CdC from Alexandria via LeMat-Bulk. Energies are from PBEsol.

Magnetic moment   6.9 μB/f.u.
E   -98.59 eV per cell
Formation enthalpy at 0 K   1.43 eV/atom

abc: 5.953 5.953 5.953
angles: 90.00 90.00 90.00
Space group Fm-3m (No. 225)
Symmetry-distinct sites (fractional):
Mn  0.250  0.250  0.250
Cd  0.000  0.000  0.000
C  0.000  0.000  0.500


No. 2
Here is a relaxed structure of TlMoPd3 from Alexandria via LeMat-Bulk. Energies are from PBEsol.

Magnetic moment   0.0 μB/f.u.
E   -27.24 eV per cell
Formation enthalpy at 0 K   1.01 eV/atom

abc: 4.764 4.764 4.764
angles: 90.00 90.00 90.00
Space group Pm-3m (No. 221)
Symmetry-distinct sites (fractional):
Tl  0.000  0.000  0.000
Mo  0.500  0.500  0.500
Pd  0.000  0.500  0.500


No. 3
Here is a relaxed structure of RhSI3 from Alexandria via LeMat-Bulk. Energies are from PBEsol.

Magnetic moment   0.6 μB/f.u.
E   -15.03 eV per cell
Raw formation energy   0.56 eV/atom

abc: 5.217 5.217 5.217
angles: 90.00 90.00 90.00
Space group Pm-3m (No. 221)
Symmetry-distinct sites (fractional):
Rh  0.000  0.000  0.000
S  0.500  0.500  0.500
I  0.000  0.000  0.500


No. 4
Here is a relaxed structure of K2NaCrCl6 from Alexandria via LeMat-Bulk. Energies are from PBEsol.

Magnetic moment   3.0 μB/f.u.
E   -166.80 eV per cell
Raw formation energy   -1.57 eV/atom

abc: 9.970 9.970 9.970
angles: 90.00 90.00 90.00
Space group Fm-3m (No. 225)
Symmetry-distinct sites (fractional):
K  0.250  0.250  0.250
Na  0.000  0.000  0.000
Cr  0.000  0.000  0.500
Cl  0.000  0.000  0.267


No. 5
Here is a relaxed structure of ZnAs2Os2 from Alexandria via LeMat-Bulk. Energies are from PBEsol.

Magnetic moment   0.0 μB/f.u.
E   -69.11 eV per cell
Formation enthalpy at 0 K   0.33 eV/atom

abc: 4.251 4.251 9.267
angles: 90.00 90.00 90.00
Space group I4/mmm (No. 139)
Symmetry-distinct sites (fractional):
Zn  0.000  0.000  0.000
As  0.000  0.000  0.372
Os  0.000  0.500  0.250


No. 6
Here is a relaxed structure of Na2Gd2Ti3O10 from Alexandria via LeMat-Bulk. Energies are from PBEsol.

Magnetic moment   14.0 μB/f.u.
E   -319.24 eV per cell
Raw formation energy   -2.97 eV/atom

abc: 3.790 3.790 28.295
angles: 90.00 90.00 90.00
Space group I4/mmm (No. 139)
Symmetry-distinct sites (fractional):
Na  0.000  0.000  0.212
Gd  0.000  0.000  0.075
Ti  0.000  0.000  0.355
Ti  0.000  0.000  0.500
O  0.000  0.000  0.293
O  0.000  0.000  0.432
O  0.000  0.500  0.000
O  0.000  0.500  0.130